# Si2TcAg | Alexandria | PBEsol | optimized geometry
data_Si2TcAg
_cell_length_a 3.2864
_cell_length_b 3.2864
_cell_length_c 5.2300
_cell_angle_alpha 90.00
_cell_angle_beta 90.00
_cell_angle_gamma 90.00
_symmetry_space_group_name_H-M 'P 4 m m'
_symmetry_Int_Tables_number 99
_symmetry_space_group_name_Hall 'P 4 -2'
loop_
_atom_site_label
_atom_site_type_symbol
_atom_site_fract_x
_atom_site_fract_y
_atom_site_fract_z
_atom_site_occupancy
Si1 Si 0.0000 0.0000 0.0000 1
Si2 Si 0.5000 0.5000 0.2853 1
Tc1 Tc 0.0000 0.0000 0.4604 1
Ag1 Ag 0.5000 0.5000 0.7949 1
# total moment	0.0	Bohr magnetons per cell
# raw formation energy	-12	kJ per mole of atoms
# Fermi-level density of states	0.841	states/eV per cell
# energy above the most stable polymorph in this dataset	0.0	meV per atom